# 1
DFT (PBE) results for crystalline CaSm2Pd2 at its relaxed geometry.

Computed properties:
The volume comes out at 133.2 Å³/f.u. The total energy is -24.8 eV per formula unit. Its space-group type is No. 12. The calculation puts the energy of formation at -0.588 eV per atom. The total magnetization is 0.0000 μB/atom.

Cell lengths 5.0365, 7.8867, 7.8774 Å; angles 67.27, 71.30, 71.32 degrees
Fractional positions:
Sm (0.4122, 0.4209, 0.2543)
Sm (0.0879, 0.0789, 0.2457)
Sm (0.5878, 0.5791, 0.7457)
Sm (0.9121, 0.9211, 0.7543)
Pd (0.8426, 0.3242, 0.4908)
Pd (0.6574, 0.1758, 0.0092)
Pd (0.3426, 0.8242, 0.9908)
Pd (0.1574, 0.6758, 0.5092)
Ca (0.2499, 0.2501, 0.7501)
Ca (0.7501, 0.7499, 0.2499)

---

# 2
DFT (PBE) results for crystalline MgCrNiIr at its relaxed geometry.

Computed properties:
The volume comes out at 54.5 Å³/f.u. The total energy is -26.2 eV per formula unit. Its space-group type is No. 216. The calculation puts the energy of formation at -0.088 eV per atom. The total magnetization is 0.6853 μB/atom.

Cell lengths 4.2559, 4.2559, 4.2559 Å; angles 60.00, 60.00, 60.00 degrees
Site moments in Bohr magnetons follow the coordinates.
Fractional positions:
Mg (0.0000, 0.0000, 0.0000)  -0.01
Ir (0.7500, 0.7500, 0.7500)  -0.03
Cr (0.5000, 0.5000, 0.5000)  2.17
Ni (0.2500, 0.2500, 0.2500)  0.54

---

# 3
DFT (PBE) results for crystalline HoErSb at its relaxed geometry.

Computed properties:
The volume comes out at 83.3 Å³/f.u. The total energy is -15.4 eV per formula unit. Its space-group type is No. 46. The total magnetization is 0.1894 μB/atom.

Cell lengths 8.2477, 8.4854, 9.2751 Å; angles 117.22, 116.40, 90.00 degrees
Site moments in Bohr magnetons follow the coordinates.
Fractional positions:
Sb (0.0865, 0.3331, 0.6665)  0.00
Sb (0.7527, 0.2492, 0.9985)  0.00
Sb (0.0865, 0.8335, 0.6665)  0.00
Sb (0.4200, 0.1665, 0.3335)  0.00
Sb (0.4200, 0.6669, 0.3335)  0.00
Sb (0.7542, 0.7508, 0.0015)  0.00
Ho (0.0143, 0.0000, 0.0000)  0.21
Ho (0.4924, 0.8685, 0.7392)  0.20
Ho (0.0143, 0.5000, 0.0000)  0.21
Ho (0.4924, 0.3707, 0.7392)  0.20
Ho (0.7532, 0.1315, 0.2608)  0.20
Ho (0.7532, 0.6293, 0.2608)  0.20
Er (0.1574, 0.9521, 0.4043)  0.19
Er (0.1574, 0.4520, 0.4040)  0.19
Er (0.7531, 0.0479, 0.5957)  0.19
Er (0.3493, 0.7501, 0.0003)  0.19
Er (0.3490, 0.2499, 0.9997)  0.19
Er (0.7534, 0.5480, 0.5960)  0.19

---

# 4
DFT (PBE) results for crystalline AgS at its relaxed geometry.

Computed properties:
The volume comes out at 49.0 Å³/f.u. The total energy is -6.6 eV per formula unit. Its space-group type is No. 136. The total magnetization is 0.0000 μB/atom.

Cell lengths 7.0679, 7.0679, 3.9255 Å; angles 90.00, 90.00, 90.00 degrees
Fractional positions:
S (0.8317, 0.8317, 0.5000)
S (0.1683, 0.1683, 0.5000)
S (0.3317, 0.6683, 0.0000)
S (0.6683, 0.3317, 0.0000)
Ag (0.3144, 0.3144, 0.0000)
Ag (0.6856, 0.6856, 0.0000)
Ag (0.8144, 0.1856, 0.5000)
Ag (0.1856, 0.8144, 0.5000)

---

# 5
DFT (PBE) results for crystalline CaBi2Pd at its relaxed geometry.

Computed properties:
The volume comes out at 116.1 Å³/f.u. The total energy is -16.2 eV per formula unit. Its space-group type is No. 122. The calculation puts the energy of formation at -0.312 eV per atom. The total magnetization is 0.0000 μB/atom.

Cell lengths 4.7749, 4.7749, 10.7330 Å; angles 77.15, 77.15, 90.00 degrees
Fractional positions:
Bi (0.0823, 0.6250, 0.2500)
Bi (0.3750, 0.3323, 0.7500)
Bi (0.6677, 0.1250, 0.2500)
Bi (0.8750, 0.9177, 0.7500)
Ca (0.2500, 0.7500, 0.5000)
Ca (0.5000, 0.5000, 0.0000)
Pd (0.7500, 0.2500, 0.5000)
Pd (0.0000, 0.0000, 0.0000)

---

# 6
DFT (PBE) results for crystalline HgGeRuF2 at its relaxed geometry.

Computed properties:
The volume comes out at 102.8 Å³/f.u. The total energy is -17.3 eV per formula unit. Its space-group type is No. 123. The total magnetization is 0.3913 μB/atom.

Cell lengths 4.2006, 5.8235, 4.2006 Å; angles 90.00, 90.00, 90.00 degrees
Site moments in Bohr magnetons follow the coordinates.
Fractional positions:
Ge (0.5000, 0.5000, 0.5000)  -0.08
F (0.5000, 0.0000, 0.0000)  0.03
F (0.0000, 0.0000, 0.5000)  0.00
Ru (0.0000, 0.5000, 0.0000)  1.89
Hg (0.0000, 0.0000, 0.0000)  0.05

---

# 7
DFT (PBE) results for crystalline PmZn6Au8 at its relaxed geometry.

Computed properties:
The volume comes out at 280.9 Å³/f.u. The total energy is -42.1 eV per formula unit. Its space-group type is No. 148. The calculation puts the energy of formation at -0.230 eV per atom. The total magnetization is 0.0000 μB/atom.

Cell lengths 7.1195, 7.1195, 7.6059 Å; angles 62.09, 62.09, 60.00 degrees
Fractional positions:
Zn (0.4181, 0.5416, 0.1879)
Zn (0.5416, 0.8524, 0.1879)
Zn (0.4584, 0.1476, 0.8121)
Zn (0.5819, 0.4584, 0.8121)
Zn (0.8524, 0.4181, 0.1879)
Zn (0.1476, 0.5819, 0.8121)
Au (0.8732, 0.1616, 0.6096)
Au (0.1268, 0.8384, 0.3904)
Au (0.7206, 0.7206, 0.8381)
Au (0.2794, 0.2794, 0.1619)
Au (0.3556, 0.8732, 0.6096)
Au (0.6444, 0.1268, 0.3904)
Au (0.1616, 0.3556, 0.6096)
Au (0.8384, 0.6444, 0.3904)
Pm (0.0000, 0.0000, 0.0000)

---

# 8
DFT (PBE) results for crystalline CdAuI2N at its relaxed geometry.

Computed properties:
The volume comes out at 141.8 Å³/f.u. The total energy is -11.9 eV per formula unit. Its space-group type is No. 123. The total magnetization is 0.0527 μB/atom.

Cell lengths 6.0877, 6.0877, 3.8253 Å; angles 90.00, 90.00, 90.00 degrees
Site moments in Bohr magnetons follow the coordinates.
Fractional positions:
N (0.0000, 0.0000, 0.5000)  0.13
I (0.0000, 0.5000, 0.0000)  0.02
I (0.5000, 0.0000, 0.0000)  0.02
Cd (0.5000, 0.5000, 0.5000)  0.00
Au (0.0000, 0.0000, 0.0000)  0.03